First-principles (PBE) data for a relaxed TmZrAl crystal, as listed in Alexandria via LeMat-Bulk.

Output
energy of formation from the pure elements	-0.26	eV/atom
excess energy over the best structure of this formula in the dataset	0.0000	eV per atom
E_tot	-17.54	eV per formula unit

Cell: 4.2863 4.2863 7.9077 Å, 90.00 90.00 90.00°
Last column: nearest neighbours and their distance in Å.
Space group P4/nmm (No. 129, origin choice 2)
One atom of each set of equivalent atoms:
Tm1 0.2500 0.2500 0.1553 x2  5 Al 3.11-3.13, 4 Zr 3.47
Zr1 0.2500 0.7500 0.5000 x2  4 Al 2.97, 4 Zr 3.03
Al1 0.2500 0.2500 0.7591 x2  4 Zr 2.97, 5 Tm 3.11-3.13